# 1
# PrPaCo2O8 (PBE with a Hubbard U, relaxed)
data_PrPaCo2O8
_cell_length_a 7.277
_cell_length_b 7.277
_cell_length_c 6.466
_cell_angle_alpha 90.00
_cell_angle_beta 90.00
_cell_angle_gamma 90.00
_space_group_name_H-M_alt 'I -4 m 2'
_space_group_IT_number 119
_space_group_name_Hall 'I -4 -2'
loop_
_atom_site_label
_atom_site_fract_x
_atom_site_fract_y
_atom_site_fract_z
_atom_site_occupancy
Pr1 0.000 0.000 0.000 1
Pa1 0.000 0.500 0.250 1
Co1 0.000 0.000 0.500 1
Co2 0.000 0.500 0.750 1
O1 0.000 0.193 0.326 1
O2 0.000 0.325 0.945 1
# **DFT total energy**: -7.4089 eV per atom

# 2
# PaCoPtO6 (PBE with a Hubbard U, relaxed)
data_PaCoPtO6
_cell_length_a 5.3614
_cell_length_b 5.3614
_cell_length_c 8.9135
_cell_angle_alpha 90.00
_cell_angle_beta 90.00
_cell_angle_gamma 120.00
_space_group_name_H-M_alt 'P -3 1 c'
_space_group_IT_number 163
_space_group_name_Hall '-P 3 2c'
loop_
_atom_site_label
_atom_site_fract_x
_atom_site_fract_y
_atom_site_fract_z
_atom_site_occupancy
Pa1 0.3333 0.6667 0.2500 1
Co1 0.0000 0.0000 0.0000 1
Pt1 0.3333 0.6667 0.7500 1
O1 0.0203 0.3438 0.6247 1
# **DFT total energy**: -7.2758 eV per atom

# 3
# PaCo2PtO8 (PBE with a Hubbard U, relaxed)
data_PaCo2PtO8
_cell_length_a 6.655
_cell_length_b 6.655
_cell_length_c 6.898
_cell_angle_alpha 90.00
_cell_angle_beta 90.00
_cell_angle_gamma 90.00
_space_group_name_H-M_alt 'I -4 m 2'
_space_group_IT_number 119
_space_group_name_Hall 'I -4 -2'
loop_
_atom_site_label
_atom_site_fract_x
_atom_site_fract_y
_atom_site_fract_z
_atom_site_occupancy
Pa1 0.000 0.000 0.000 1
Co1 0.000 0.000 0.500 1
Co2 0.000 0.500 0.750 1
Pt1 0.000 0.500 0.250 1
O1 0.000 0.199 0.280 1
O2 0.000 0.319 0.924 1
# **DFT total energy**: -6.6569 eV per atom

# 4
# PuPaCo2O8 (PBE with a Hubbard U, relaxed)
data_PuPaCo2O8
_cell_length_a 5.7470
_cell_length_b 5.7470
_cell_length_c 6.5741
_cell_angle_alpha 90.00
_cell_angle_beta 90.00
_cell_angle_gamma 120.00
_space_group_name_H-M_alt 'P -3 m 1'
_space_group_IT_number 164
_space_group_name_Hall '-P 3 2"'
loop_
_atom_site_label
_atom_site_fract_x
_atom_site_fract_y
_atom_site_fract_z
_atom_site_occupancy
Pu1 0.0000 0.0000 0.0000 1
Pa1 0.0000 0.0000 0.5000 1
Co1 0.3333 0.6667 0.6774 1
O1 0.1513 0.3027 0.7546 1
O2 0.3333 0.6667 0.4170 1
# **DFT total energy**: -7.9876 eV per atom